(1)
The following is a DFT calculation (PBE-GGA) of crystalline TlRu3 at its relaxed geometry.

Energy above the lowest structure with this stoichiometry ... 0.305 eV per formula unit
Calculated total energy ... -112.4 eV/cell
ΔE_f ... 0.525 eV/atom
DOS at the Fermi energy ... 1.10 states/eV per atom

```
data_TlRu3
_chemical_formula_sum 'Tl4 Ru12'
_cell_length_a 5.131
_cell_length_b 8.919
_cell_length_c 5.620
_cell_angle_alpha 90.00
_cell_angle_beta 90.00
_cell_angle_gamma 90.00
_symmetry_space_group_name_H-M 'P n m a'
_symmetry_Int_Tables_number 62
loop_
_symmetry_equiv_pos_as_xyz
'x,y,z'
'-x,-y,-z'
'-x+1/2,-y,z+1/2'
'x+1/2,y,-z+1/2'
'x+1/2,-y+1/2,-z+1/2'
'-x+1/2,y+1/2,z+1/2'
'-x,y+1/2,-z'
'x,-y+1/2,z'
loop_
_atom_site_label
_atom_site_type_symbol
_atom_site_fract_x
_atom_site_fract_y
_atom_site_fract_z
_atom_site_occupancy
Tl1 Tl 0.058 0.250 0.113 1
Ru1 Ru 0.088 0.250 0.632 1
Ru2 Ru 0.203 0.510 0.361 1
```

---

(2)
The following is a DFT calculation (PBE-GGA) of crystalline ErSc2Pd at its relaxed geometry.

Energy above the lowest structure with this stoichiometry ... 0.810 eV per formula unit
Calculated total energy ... -70.4 eV/cell
ΔE_f ... -0.258 eV/atom
DOS at the Fermi energy ... 1.22 states/eV per atom

```
data_ErSc2Pd
_chemical_formula_sum 'Er3 Sc6 Pd3'
_cell_length_a 3.4341
_cell_length_b 3.4341
_cell_length_c 28.0122
_cell_angle_alpha 90.00
_cell_angle_beta 90.00
_cell_angle_gamma 120.00
_symmetry_space_group_name_H-M 'R 3 m'
_symmetry_Int_Tables_number 160
_symmetry_space_group_name_Hall 'R 3 -2"'
loop_
_atom_site_label
_atom_site_type_symbol
_atom_site_fract_x
_atom_site_fract_y
_atom_site_fract_z
_atom_site_occupancy
Er1 Er 0.0000 0.0000 0.0000 1
Sc1 Sc 0.0000 0.0000 0.5660 1
Sc2 Sc 0.0000 0.0000 0.7639 1
Pd1 Pd 0.0000 0.0000 0.1649 1
```

---

(3)
The following is a DFT calculation (PBE-GGA) of crystalline AcTm2Pu at its relaxed geometry.

Energy above the lowest structure with this stoichiometry ... 0.189 eV per formula unit
Calculated total energy ... -26.6 eV/cell
ΔE_f ... 0.193 eV/atom
DOS at the Fermi energy ... 4.15 states/eV per atom

```
data_AcTm2Pu
_chemical_formula_sum 'Ac1 Tm2 Pu1'
_cell_length_a 5.070
_cell_length_b 5.070
_cell_length_c 5.094
_cell_angle_alpha 90.00
_cell_angle_beta 90.00
_cell_angle_gamma 90.00
_symmetry_space_group_name_H-M 'P 4/m m m'
_symmetry_Int_Tables_number 123
_symmetry_space_group_name_Hall '-P 4 2'
loop_
_atom_site_label
_atom_site_type_symbol
_atom_site_fract_x
_atom_site_fract_y
_atom_site_fract_z
_atom_site_occupancy
Ac1 Ac 0.000 0.000 0.000 1
Tm1 Tm 0.000 0.500 0.500 1
Pu1 Pu 0.500 0.500 0.000 1
```

---

- The highest ΔE_f belongs to which entry?
  TlRu3

---

- Look up the calculated total energy of the second one.
  -70.4 eV/cell

---

- Which of these has the lowest ΔE_f?
  ErSc2Pd